No. 1
The following is a DFT calculation (GGA-PBE) of a relaxed Er3PuAu4 crystal.

The value obtained for the energy relative to the elements is -0.7681 eV/atom.

Unit cell a=3.5616 b=3.5616 c=14.5058 alpha=90.00 beta=90.00 gamma=90.00
Closest atoms and distances in Å follow each position.
Positions (direct):
1 Au 0.0000 0.0000 0.6224  8 Er 3.08-3.10
2 Pu 0.5000 0.5000 0.0000  8 Au 3.22, 4 Pu 3.56
3 Er 0.5000 0.5000 0.5000  8 Au 3.08
4 Au 0.0000 0.0000 0.3776  8 Er 3.08-3.10
5 Au 0.0000 0.0000 0.1381  4 Er 3.02, 4 Pu 3.22
6 Au 0.0000 0.0000 0.8619  4 Er 3.02, 4 Pu 3.22
7 Er 0.5000 0.5000 0.7474  8 Au 3.02-3.10
8 Er 0.5000 0.5000 0.2526  8 Au 3.02-3.10

---

No. 2
The following is a DFT calculation (GGA-PBE) of a relaxed Ba3Cu crystal.

The value obtained for the energy relative to the elements is 0.3475 eV/atom.

Unit cell a=7.1985 b=7.1985 c=7.1985 alpha=116.24 beta=116.24 gamma=116.24
Closest atoms and distances in Å follow each position.
Positions (direct):
1 Ba 0.5000 0.5000 0.0000  6 Ba 3.80-4.24, 2 Cu 3.80
2 Cu 0.0000 0.5000 0.5000  6 Ba 3.80, 2 Cu 4.24
3 Ba 0.5000 0.0000 0.5000  2 Cu 3.80, 6 Ba 3.80-4.24
4 Ba 0.0000 0.0000 0.0000  6 Ba 3.80-4.24, 2 Cu 3.80

---

No. 3
The following is a DFT calculation (GGA-PBE) of a relaxed MnSi2N crystal.

Its uncorrected formation energy is -0.107 eV per atom.

Unit cell a=3.9927 b=2.8791 c=4.7361 alpha=90.00 beta=90.00 gamma=90.00
Closest atoms and distances in Å follow each position.
Positions (direct):
1 Si 0.0000 0.5000 0.5348  2 N 1.76
2 Si 0.5000 0.5000 0.2616  2 Si 2.38, 2 Mn 2.48
3 N 0.0000 0.0000 0.7494  2 Si 1.76
4 Mn 0.5000 0.0000 0.8352  2 N 2.04

---

No. 4
The following is a DFT calculation (GGA-PBE) of a relaxed BaIr2 crystal.

The value obtained for the energy relative to the elements is 0.5250 eV/atom.

Unit cell a=8.9017 b=8.9017 c=4.4068 alpha=90.00 beta=90.00 gamma=120.00
Closest atoms and distances in Å follow each position.
Positions (direct):
1 Ir 0.7153 0.7153 0.0000  2 Ir 2.36
2 Ir 0.0000 0.2847 0.0000  2 Ir 2.36
3 Ir 0.0000 0.3799 0.5000  2 Ir 2.36
4 Ba 0.3333 0.6667 0.0000  9 Ir 3.21-3.55
5 Ir 0.3799 0.0000 0.5000  2 Ir 2.36
6 Ir 0.2847 0.0000 0.0000  2 Ir 2.36
7 Ir 0.6201 0.6201 0.5000  2 Ir 2.36
8 Ba 0.6667 0.3333 0.0000  9 Ir 3.21-3.55
9 Ba 0.0000 0.0000 0.5000  9 Ir 3.36-3.38

---

Table of V (Å³/atom), in record order: 23.001, 45.763, 13.611, 33.601